VASP calculation (PBE-GGA) on a relaxed Fe2HOs crystal.

The structure in POSCAR format:
```
Fe2HOs
1.0
1.3294 0.7675 6.4242
-1.3294 0.7675 6.4242
0.0000 -1.5351 6.4242
Fe H Os
2 1 1
Direct
0.2240 0.2240 0.2240 Fe
0.7760 0.7760 0.7760 Fe
0.5000 0.5000 0.5000 H
0.0000 0.0000 0.0000 Os
```

The value obtained for the raw total energy is -31.26 eV/cell. As for the energy relative to the lowest polymorph listed for this composition: 0.0 kJ per mole of atoms. Its total magnetization is 3.96 μB/f.u.